1.
## Na2CO5 (PBE)

Data for crystalline Na2CO5 at its relaxed geometry.

ΔE_f (raw) = -1.14 eV/atom
M_tot = 2.01 μB per formula unit
total energy = -45.79 eV/cell

Cell: 5.400 5.400 6.627 Å, 77.30 77.30 54.08°
Sites, in units of the cell vectors:
1 Na 0.933 0.933 0.998
2 Na 0.980 0.980 0.550
3 C 0.643 0.643 0.772
4 O 0.312 0.575 0.281
5 O 0.575 0.312 0.281
6 O 0.354 0.802 0.753
7 O 0.802 0.354 0.753
8 O 0.769 0.769 0.806

***

2.
## NaCO2 (PBE)

Data for crystalline NaCO2 at its relaxed geometry.

ΔE_f (raw) = -1.14 eV/atom
M_tot = 1.00 μB per formula unit
total energy = -50.03 eV/cell

Cell: 4.436 4.436 6.495 Å, 72.57 72.57 84.06°
Sites, in units of the cell vectors:
1 Na 0.190 0.810 0.250
2 Na 0.810 0.190 0.750
3 C 0.693 0.307 0.250
4 C 0.307 0.693 0.750
5 O 0.667 0.109 0.154
6 O 0.891 0.333 0.346
7 O 0.333 0.891 0.846
8 O 0.109 0.667 0.654

***

3.
## Na2CO4 (PBE)

Data for crystalline Na2CO4 at its relaxed geometry.

ΔE_f (raw) = -1.24 eV/atom
M_tot = 0.00 μB per formula unit
total energy = -80.74 eV/cell
polymorph energy (0 for the lowest one) = 0 meV/atom

Cell: 5.321 5.306 6.122 Å, 90.00 114.99 90.00°
Sites, in units of the cell vectors:
1 Na 0.670 0.750 0.984
2 Na 0.330 0.250 0.016
3 Na 0.061 0.250 0.373
4 Na 0.939 0.750 0.627
5 C 0.285 0.750 0.266
6 C 0.715 0.250 0.734
7 O 0.477 0.523 0.370
8 O 0.257 0.750 0.039
9 O 0.743 0.250 0.961
10 O 0.477 0.977 0.370
11 O 0.926 0.250 0.678
12 O 0.523 0.023 0.630
13 O 0.523 0.477 0.630
14 O 0.074 0.750 0.322

***

4.
## NaCO2 (PBE)

Data for crystalline NaCO2 at its relaxed geometry.

ΔE_f (raw) = 0.71 eV/atom
M_tot = 0.00 μB per formula unit
total energy = -17.63 eV/cell

Cell: 6.576 6.576 6.576 Å, 23.16 23.16 23.16°
Sites, in units of the cell vectors:
1 Na 0.000 0.000 0.000
2 C 0.500 0.500 0.500
3 O 0.882 0.882 0.882
4 O 0.118 0.118 0.118

***

5.
## NaC2O3 (PBE)

Data for crystalline NaC2O3 at its relaxed geometry.

ΔE_f (raw) = -0.63 eV/atom
M_tot = 0.49 μB per formula unit
total energy = -76.85 eV/cell

Cell: 5.035 6.684 5.736 Å, 90.00 90.00 90.00°
Sites, in units of the cell vectors:
1 Na 0.451 0.500 0.500
2 Na 0.549 0.000 0.000
3 C 0.136 0.000 0.722
4 C 0.136 0.000 0.278
5 C 0.864 0.500 0.222
6 C 0.864 0.500 0.778
7 O 0.104 0.500 0.770
8 O 0.275 0.000 0.500
9 O 0.104 0.500 0.230
10 O 0.896 0.000 0.270
11 O 0.725 0.500 0.000
12 O 0.896 0.000 0.730

***

6.
## Na8C3O8 (PBE)

Data for crystalline Na8C3O8 at its relaxed geometry.

ΔE_f (raw) = -1.35 eV/atom
M_tot = 0.00 μB per formula unit
total energy = -103.54 eV/cell

Cell: 3.598 8.528 11.942 Å, 111.49 98.67 89.99°
Sites, in units of the cell vectors:
1 Na 0.039 0.488 0.079
2 Na 0.934 0.699 0.867
3 Na 0.316 0.477 0.630
4 Na 0.701 0.508 0.402
5 Na 0.436 0.072 0.872
6 Na 0.592 0.999 0.186
7 Na 0.213 0.874 0.426
8 Na 0.830 0.155 0.660
9 C 0.421 0.362 0.841
10 C 0.210 0.196 0.421
11 C 0.821 0.802 0.642
12 O 0.160 0.062 0.322
13 O 0.873 0.932 0.745
14 O 0.208 0.346 0.417
15 O 0.822 0.650 0.642
16 O 0.263 0.180 0.527
17 O 0.769 0.825 0.538
18 O 0.416 0.511 0.831
19 O 0.476 0.362 0.952

***

7.
## NaCO2 (PBE)

Data for crystalline NaCO2 at its relaxed geometry.

ΔE_f (raw) = -1.27 eV/atom
M_tot = 0.00 μB per formula unit
total energy = -102.19 eV/cell

Cell: 3.207 9.698 6.173 Å, 90.00 90.00 90.00°
Sites, in units of the cell vectors:
1 Na 0.750 0.650 0.619
2 Na 0.250 0.850 0.119
3 Na 0.250 0.350 0.381
4 Na 0.750 0.150 0.881
5 C 0.750 0.063 0.410
6 C 0.250 0.437 0.910
7 C 0.250 0.937 0.590
8 C 0.750 0.563 0.090
9 O 0.750 0.182 0.490
10 O 0.250 0.318 0.990
11 O 0.250 0.818 0.510
12 O 0.750 0.682 0.010
13 O 0.750 0.523 0.283
14 O 0.250 0.977 0.783
15 O 0.250 0.477 0.717
16 O 0.750 0.023 0.217

***

8.
## Na3CO4 (PBE)

Data for crystalline Na3CO4 at its relaxed geometry.

ΔE_f (raw) = -1.37 eV/atom
M_tot = 1.01 μB per formula unit
total energy = -175.91 eV/cell
polymorph energy (0 for the lowest one) = 0 meV/atom

Cell: 6.737 6.873 7.844 Å, 90.00 90.00 90.00°
Sites, in units of the cell vectors:
1 Na 0.330 0.557 0.750
2 Na 0.830 0.943 0.750
3 Na 0.670 0.443 0.250
4 Na 0.170 0.057 0.250
5 Na 0.461 0.779 0.038
6 Na 0.961 0.721 0.462
7 Na 0.539 0.221 0.538
8 Na 0.039 0.279 0.962
9 Na 0.539 0.221 0.962
10 Na 0.039 0.279 0.538
11 Na 0.461 0.779 0.462
12 Na 0.961 0.721 0.038
13 C 0.280 0.011 0.750
14 C 0.780 0.489 0.750
15 C 0.720 0.989 0.250
16 C 0.220 0.511 0.250
17 O 0.179 0.952 0.603
18 O 0.679 0.548 0.897
19 O 0.821 0.048 0.103
20 O 0.321 0.452 0.397
21 O 0.821 0.048 0.397
22 O 0.321 0.452 0.103
23 O 0.179 0.952 0.897
24 O 0.679 0.548 0.603
25 O 0.292 0.215 0.750
26 O 0.792 0.285 0.750
27 O 0.708 0.785 0.250
28 O 0.208 0.715 0.250
29 O 0.470 0.927 0.750
30 O 0.970 0.573 0.750
31 O 0.530 0.073 0.250
32 O 0.030 0.427 0.250

***

9.
## NaOsCO5 (PBE)

Data for crystalline NaOsCO5 at its relaxed geometry.

ΔE_f (raw) = -1.11 eV/atom
M_tot = 0.00 μB per formula unit
total energy = -110.82 eV/cell

Cell: 5.182 5.182 7.096 Å, 106.14 106.14 104.25°
Sites, in units of the cell vectors:
1 Na 0.338 0.662 0.250
2 Na 0.662 0.338 0.750
3 Os 0.000 0.000 0.500
4 Os 0.000 0.000 0.000
5 C 0.688 0.312 0.250
6 C 0.312 0.688 0.750
7 O 0.065 0.935 0.250
8 O 0.935 0.065 0.750
9 O 0.883 0.326 0.146
10 O 0.117 0.674 0.854
11 O 0.674 0.117 0.354
12 O 0.326 0.883 0.646
13 O 0.748 0.586 0.403
14 O 0.252 0.414 0.597
15 O 0.414 0.252 0.097
16 O 0.586 0.748 0.903

***

10.
## NaPCO2 (PBE)

Data for crystalline NaPCO2 at its relaxed geometry.

ΔE_f (raw) = 0.71 eV/atom
M_tot = 0.00 μB per formula unit
total energy = -22.34 eV/cell
polymorph energy (0 for the lowest one) = 94 meV/atom

Cell: 4.056 4.056 3.493 Å, 90.00 90.00 90.00°
Sites, in units of the cell vectors:
1 P 0.000 0.000 0.500
2 C 0.000 0.000 0.000
3 O 0.000 0.500 0.000
4 O 0.500 0.000 0.000
5 Na 0.500 0.500 0.500

***

11.
## NaP2CO (PBE)

Data for crystalline NaP2CO at its relaxed geometry.

ΔE_f (raw) = 0.91 eV/atom
M_tot = 0.00 μB per formula unit
total energy = -21.78 eV/cell
polymorph energy (0 for the lowest one) = 0 meV/atom

Cell: 3.801 3.801 4.832 Å, 90.00 90.00 90.00°
Sites, in units of the cell vectors:
1 P 0.000 0.500 0.000
2 P 0.500 0.000 0.000
3 C 0.000 0.000 0.000
4 O 0.000 0.000 0.500
5 Na 0.500 0.500 0.500

***

12.
## NaP2CO (PBE)

Data for crystalline NaP2CO at its relaxed geometry.

ΔE_f (raw) = 2.46 eV/atom
M_tot = 1.81 μB per formula unit
total energy = -14.04 eV/cell
polymorph energy (0 for the lowest one) = 1547 meV/atom

Cell: 4.862 4.862 3.876 Å, 90.00 90.00 90.00°
Sites, in units of the cell vectors:
1 P 0.000 0.500 0.000
2 P 0.500 0.000 0.000
3 C 0.500 0.500 0.500
4 O 0.000 0.000 0.500
5 Na 0.000 0.000 0.000

***

13.
## NaPCO2 (PBE)

Data for crystalline NaPCO2 at its relaxed geometry.

ΔE_f (raw) = 2.13 eV/atom
M_tot = 3.39 μB per formula unit
total energy = -15.23 eV/cell
polymorph energy (0 for the lowest one) = 1516 meV/atom

Cell: 3.904 3.904 5.769 Å, 90.00 90.00 90.00°
Sites, in units of the cell vectors:
1 P 0.000 0.000 0.500
2 C 0.500 0.500 0.500
3 O 0.000 0.500 0.000
4 O 0.500 0.000 0.000
5 Na 0.000 0.000 0.000

***

14.
## NaPCO2 (PBE)

Data for crystalline NaPCO2 at its relaxed geometry.

ΔE_f (raw) = 0.61 eV/atom
M_tot = 2.07 μB per formula unit
total energy = -22.81 eV/cell
polymorph energy (0 for the lowest one) = 0 meV/atom

Cell: 3.400 7.266 3.400 Å, 90.00 90.00 90.00°
Sites, in units of the cell vectors:
1 P 0.000 0.000 0.000
2 C 0.500 0.500 0.500
3 O 0.000 0.000 0.500
4 O 0.500 0.000 0.000
5 Na 0.000 0.500 0.000

***

15.
## Na2PRuCO7 (PBE)

Data for crystalline Na2PRuCO7 at its relaxed geometry.

ΔE_f (raw) = -1.66 eV/atom
M_tot = 1.00 μB per formula unit
total energy = -162.41 eV/cell

Cell: 6.544 5.226 9.125 Å, 87.57 90.00 90.00°
Sites, in units of the cell vectors:
1 Na 0.990 0.755 0.761
2 Na 0.510 0.755 0.761
3 Na 0.490 0.245 0.239
4 Na 0.010 0.245 0.239
5 P 0.750 0.287 0.581
6 P 0.250 0.713 0.419
7 Ru 0.250 0.210 0.655
8 Ru 0.750 0.790 0.345
9 C 0.250 0.279 0.925
10 C 0.750 0.721 0.075
11 O 0.750 0.685 0.941
12 O 0.250 0.053 0.866
13 O 0.250 0.468 0.822
14 O 0.938 0.199 0.675
15 O 0.562 0.199 0.675
16 O 0.250 0.842 0.569
17 O 0.750 0.585 0.557
18 O 0.250 0.415 0.443
19 O 0.750 0.158 0.431
20 O 0.438 0.801 0.325
21 O 0.062 0.801 0.325
22 O 0.750 0.532 0.178
23 O 0.750 0.947 0.134
24 O 0.250 0.315 0.059

***

16.
## Na2ScPCO7 (PBE)

Data for crystalline Na2ScPCO7 at its relaxed geometry.

ΔE_f (raw) = -2.34 eV/atom
M_tot = 0.03 μB per formula unit
total energy = -172.69 eV/cell

Cell: 6.735 5.371 9.140 Å, 91.00 90.00 90.00°
Sites, in units of the cell vectors:
1 Na 0.500 0.240 0.783
2 Na 0.000 0.240 0.783
3 Na 0.500 0.760 0.217
4 Na 0.000 0.760 0.217
5 Sc 0.750 0.789 0.638
6 Sc 0.250 0.211 0.362
7 P 0.250 0.718 0.572
8 P 0.750 0.282 0.428
9 C 0.750 0.733 0.919
10 C 0.250 0.267 0.081
11 O 0.250 0.303 0.945
12 O 0.750 0.954 0.860
13 O 0.750 0.547 0.821
14 O 0.062 0.804 0.655
15 O 0.438 0.804 0.655
16 O 0.750 0.168 0.584
17 O 0.250 0.427 0.555
18 O 0.750 0.573 0.445
19 O 0.250 0.832 0.416
20 O 0.562 0.196 0.345
21 O 0.938 0.196 0.345
22 O 0.250 0.453 0.179
23 O 0.250 0.046 0.140
24 O 0.750 0.697 0.055

***

17.
## NaSiPCO7 (PBE)

Data for crystalline NaSiPCO7 at its relaxed geometry.

ΔE_f (raw) = -2.05 eV/atom
M_tot = 0.07 μB per formula unit
total energy = -157.19 eV/cell

Cell: 6.042 4.992 9.436 Å, 90.36 90.00 90.00°
Sites, in units of the cell vectors:
1 Na 0.552 0.817 0.818
2 Na 0.052 0.183 0.182
3 Si 0.242 0.237 0.650
4 Si 0.742 0.763 0.350
5 P 0.747 0.273 0.558
6 P 0.247 0.727 0.442
7 C 0.243 0.341 0.885
8 C 0.743 0.659 0.115
9 O 0.737 0.602 0.988
10 O 0.243 0.095 0.827
11 O 0.252 0.514 0.776
12 O 0.948 0.231 0.655
13 O 0.546 0.225 0.656
14 O 0.249 0.921 0.568
15 O 0.744 0.566 0.504
16 O 0.244 0.434 0.496
17 O 0.749 0.079 0.432
18 O 0.046 0.775 0.344
19 O 0.448 0.769 0.345
20 O 0.752 0.486 0.224
21 O 0.743 0.905 0.173
22 O 0.237 0.398 0.012

***

18.
## Na6Sn2PC4O16 (PBE)

Data for crystalline Na6Sn2PC4O16 at its relaxed geometry.

ΔE_f (raw) = -1.65 eV/atom
M_tot = 0.14 μB per formula unit
total energy = -370.75 eV/cell

Cell: 10.290 10.290 10.290 Å, 60.00 60.00 60.00°
Sites, in units of the cell vectors:
1 Na 0.199 0.199 0.801
2 Na 0.449 0.449 0.051
3 Na 0.449 0.051 0.449
4 Na 0.199 0.801 0.199
5 Na 0.051 0.449 0.449
6 Na 0.801 0.199 0.199
7 Na 0.801 0.199 0.801
8 Na 0.199 0.801 0.801
9 Na 0.449 0.051 0.051
10 Na 0.051 0.449 0.051
11 Na 0.801 0.801 0.199
12 Na 0.051 0.051 0.449
13 Sn 0.625 0.625 0.125
14 Sn 0.125 0.625 0.625
15 Sn 0.625 0.125 0.625
16 Sn 0.625 0.625 0.625
17 P 0.000 0.000 0.000
18 P 0.250 0.250 0.250
19 C 0.849 0.452 0.849
20 C 0.452 0.849 0.849
21 C 0.849 0.849 0.849
22 C 0.401 0.401 0.798
23 C 0.401 0.401 0.401
24 C 0.849 0.849 0.452
25 C 0.798 0.401 0.401
26 C 0.401 0.798 0.401
27 O 0.845 0.452 0.725
28 O 0.062 0.062 0.814
29 O 0.452 0.725 0.845
30 O 0.452 0.978 0.725
31 O 0.062 0.814 0.062
32 O 0.814 0.062 0.062
33 O 0.978 0.452 0.845
34 O 0.725 0.452 0.978
35 O 0.062 0.062 0.062
36 O 0.978 0.845 0.725
37 O 0.405 0.272 0.798
38 O 0.452 0.845 0.978
39 O 0.725 0.978 0.845
40 O 0.272 0.525 0.798
41 O 0.725 0.845 0.452
42 O 0.405 0.525 0.272
43 O 0.845 0.725 0.978
44 O 0.525 0.405 0.798
45 O 0.978 0.725 0.452
46 O 0.525 0.272 0.405
47 O 0.798 0.405 0.272
48 O 0.845 0.978 0.452
49 O 0.272 0.405 0.525
50 O 0.188 0.188 0.188
51 O 0.525 0.798 0.272
52 O 0.272 0.798 0.405
53 O 0.188 0.436 0.188
54 O 0.436 0.188 0.188
55 O 0.798 0.272 0.525
56 O 0.798 0.525 0.405
57 O 0.188 0.188 0.436
58 O 0.405 0.798 0.525